Entry from Alexandria: an optimized crystal structure of Re3IrBr (PBE).

Formation energy from raw total energies in eV/atom: 2.4460
Total magnetic moment in μB per cell: 4.02
Energy above the lowest structure with this stoichiometry in meV/atom: 22
Density of states at the Fermi level in states/eV per atom: 1.195

Geometry as CIF:
```
data_Re3IrBr
_chemical_formula_sum 'Re3 Ir1 Br1'
_cell_length_a 4.820
_cell_length_b 4.820
_cell_length_c 4.820
_cell_angle_alpha 90.00
_cell_angle_beta 90.00
_cell_angle_gamma 90.00
_symmetry_space_group_name_H-M 'P m -3 m'
_symmetry_Int_Tables_number 221
_symmetry_space_group_name_Hall '-P 4 2 3'
loop_
_atom_site_label
_atom_site_type_symbol
_atom_site_fract_x
_atom_site_fract_y
_atom_site_fract_z
Re1 Re 0.000 0.000 0.500
Ir1 Ir 0.000 0.000 0.000
Br1 Br 0.500 0.500 0.500
```